# 1
HfZrTl2Cd | PBE | relaxed

Computed properties:
Energy of formation from the pure elements   542 kJ/mol of formula units
Density of states at the Fermi level   0.709 states/eV per atom

abc: 5.226 5.226 5.399
angles: 90.00 90.00 90.00
Positions (direct):
Hf 0.000 0.000 0.000
Zr 0.500 0.500 0.000
Tl 0.000 0.500 0.500
Tl 0.500 0.000 0.500
Cd 0.000 0.000 0.500

***

# 2
KZnN2O | PBE | relaxed

Computed properties:
Formation energy without anion corrections   4.5 eV per formula unit
Density of states at the Fermi level   0.490 states/eV per atom

abc: 4.162 4.162 4.172
angles: 90.00 90.00 90.00
Positions (direct):
K 0.000 0.000 0.000
Zn 0.500 0.500 0.500
N 0.000 0.500 0.500
N 0.500 0.000 0.500
O 0.500 0.500 0.000

***

# 3
Rb5SO4F2 | PBE | relaxed

Computed properties:
Formation energy without anion corrections   -22.5 eV per formula unit
Density of states at the Fermi level   0.164 states/eV per atom

abc: 7.920 6.730 6.730
angles: 112.00 90.00 90.00
Positions (direct):
Rb 0.000 0.000 0.000
Rb 0.245 0.211 0.607
Rb 0.245 0.607 0.211
Rb 0.755 0.211 0.607
Rb 0.755 0.607 0.211
S 0.500 0.063 0.063
O 0.345 0.179 0.179
O 0.500 0.062 0.840
O 0.500 0.840 0.062
O 0.655 0.179 0.179
F 0.000 0.373 0.927
F 0.000 0.927 0.373

***

# 4
Sc2OsPdC | PBE | relaxed

Computed properties:
Energy of formation from the pure elements   -263 kJ/mol of formula units
Density of states at the Fermi level   0.439 states/eV per atom

abc: 4.558 4.558 3.854
angles: 90.00 90.00 90.00
Positions (direct):
Sc 0.000 0.500 0.000
Sc 0.500 0.000 0.000
Os 0.000 0.000 0.500
Pd 0.500 0.500 0.500
C 0.000 0.000 0.000

***

# 5
Hf2PaSe6 | PBE | relaxed

Computed properties:
Formation energy without anion corrections   -12.0 eV per formula unit
Density of states at the Fermi level   0.693 states/eV per atom

abc: 9.105 9.105 8.288
angles: 107.62 107.62 24.57
Positions (direct):
Hf 0.172 0.172 0.345
Hf 0.828 0.828 0.655
Pa 0.500 0.500 0.000
Se 0.011 0.011 0.255
Se 0.328 0.328 0.427
Se 0.333 0.333 0.888
Se 0.667 0.667 0.112
Se 0.672 0.672 0.573
Se 0.989 0.989 0.745

***

# 6
Pm10PrNd4 | PBE | relaxed

Computed properties:
Energy of formation from the pure elements   582 kJ/mol of formula units
Density of states at the Fermi level   1.805 states/eV per atom

abc: 9.006 9.006 9.006
angles: 112.46 112.46 103.65
Positions (direct):
Pm 0.048 0.946 0.656
Pm 0.054 0.710 0.103
Pm 0.250 0.750 0.500
Pm 0.290 0.393 0.344
Pm 0.393 0.048 0.103
Pm 0.607 0.952 0.897
Pm 0.710 0.607 0.656
Pm 0.750 0.250 0.500
Pm 0.946 0.290 0.897
Pm 0.952 0.054 0.344
Pr 0.000 0.000 0.000
Nd 0.214 0.559 0.773
Nd 0.441 0.214 0.656
Nd 0.559 0.786 0.344
Nd 0.786 0.441 0.227

***

# 7
InCoPt2 | PBE | relaxed

Computed properties:
Energy of formation from the pure elements   -28 kJ/mol of formula units
Density of states at the Fermi level   1.337 states/eV per atom

abc: 3.323 3.323 5.784
angles: 90.00 90.00 90.00
Positions (direct):
In 0.000 0.000 0.000
Co 0.500 0.500 0.722
Pt 0.000 0.000 0.530
Pt 0.500 0.500 0.252

***

# 8
Ac3Hg8Pb2 | PBE | relaxed

Computed properties:
Energy of formation from the pure elements   -231 kJ/mol of formula units
Density of states at the Fermi level   0.540 states/eV per atom

abc: 12.383 12.383 12.383
angles: 29.39 29.39 29.39
Positions (direct):
Ac 0.000 0.000 0.000
Ac 0.189 0.189 0.189
Ac 0.811 0.811 0.811
Hg 0.227 0.728 0.728
Hg 0.272 0.272 0.773
Hg 0.272 0.773 0.272
Hg 0.281 0.281 0.281
Hg 0.719 0.719 0.719
Hg 0.728 0.227 0.728
Hg 0.728 0.728 0.227
Hg 0.773 0.272 0.272
Pb 0.366 0.366 0.366
Pb 0.634 0.634 0.634

***

# 9
HfCrAuI2 | PBE | relaxed

Computed properties:
Formation energy without anion corrections   4.1 eV per formula unit
Density of states at the Fermi level   1.203 states/eV per atom

abc: 5.295 5.295 5.130
angles: 90.00 90.00 90.00
Positions (direct):
Hf 0.000 0.000 0.000
Cr 0.500 0.500 0.500
Au 0.500 0.500 0.000
I 0.000 0.500 0.500
I 0.500 0.000 0.500

***

# 10
Th2Zr3Ga4 | PBE | relaxed

Computed properties:
Energy of formation from the pure elements   -359 kJ/mol of formula units
Density of states at the Fermi level   0.744 states/eV per atom

abc: 8.567 8.567 8.256
angles: 90.00 90.00 136.77
Positions (direct):
Th 0.113 0.887 0.909
Th 0.387 0.613 0.409
Th 0.613 0.387 0.591
Th 0.887 0.113 0.091
Zr 0.000 0.000 0.500
Zr 0.041 0.459 0.750
Zr 0.459 0.041 0.250
Zr 0.500 0.500 0.000
Zr 0.541 0.959 0.750
Zr 0.959 0.541 0.250
Ga 0.182 0.818 0.552
Ga 0.213 0.287 0.750
Ga 0.287 0.213 0.250
Ga 0.318 0.682 0.052
Ga 0.682 0.318 0.948
Ga 0.713 0.787 0.750
Ga 0.787 0.713 0.250
Ga 0.818 0.182 0.448